{"formula": "Ba2LiGd", "functional": "PBE", "state": "optimized geometry", "lattice": [[4.1168, 0.0000, 0.0000], [0.0000, 4.1168, 0.0000], [0.0000, 0.0000, 10.2908]], "species": ["Ba", "Ba", "Li", "Gd"], "fractional_positions": [[0.0000, 0.0000, 0.2308], [0.0000, 0.0000, 0.7692], [0.5000, 0.5000, 0.0000], [0.5000, 0.5000, 0.5000]], "dos_ef_per_ev_cell": 8.5, "spacegroup": "P4/mmm", "formation_enthalpy_0k_ev_per_atom": 0.166}

***

{"formula": "Dy6MgCo2", "functional": "PBE", "state": "optimized geometry", "lattice": [[-4.6671, 4.8292, 5.0104], [4.6671, -4.8292, 5.0104], [4.6671, 4.8292, -5.0104]], "species": ["Dy", "Dy", "Dy", "Dy", "Dy", "Dy", "Dy", "Dy", "Dy", "Dy", "Dy", "Dy", "Mg", "Mg", "Co", "Co", "Co", "Co"], "fractional_positions": [[0.0314, 0.2358, 0.7956], [0.1832, 0.2847, 0.4678], [0.1832, 0.7153, 0.8985], [0.3203, 0.0065, 0.6861], [0.3203, 0.6342, 0.3139], [0.4402, 0.2358, 0.2044], [0.5598, 0.7642, 0.7956], [0.6797, 0.3658, 0.6861], [0.6797, 0.9935, 0.3139], [0.8168, 0.2847, 0.1015], [0.8168, 0.7153, 0.5322], [0.9686, 0.7642, 0.2044], [0.0000, 0.0000, 0.0000], [0.5000, 0.5000, 0.0000], [0.1136, 0.6136, 0.5000], [0.3280, 0.0000, 0.3280], [0.6720, 0.0000, 0.6720], [0.8864, 0.3864, 0.5000]], "dos_ef_per_ev_cell": 20.8, "spacegroup": "Immm", "formation_enthalpy_0k_ev_per_atom": -0.146}